A relaxed AsIr2Se crystal, computed with GGA-PBE.

Output
space-group type = Fm-3m (225)
volume = 15.91 Å³/atom
raw formation energy = 0.40 eV per atom
excess energy over the best structure of this formula in the dataset = 365.2 meV per atom
mass density = 14.0 Mg/m³
M_tot = 0.0 Bohr magnetons per cell

Cell: 4.481 4.481 4.481 Å, 60.00 60.00 60.00°
Positions (direct):
Ir 0.250 0.250 0.250
Ir 0.750 0.750 0.750
Se 0.500 0.500 0.500
As 0.000 0.000 0.000